DFT (GGA-PBE) results for crystalline Li2CeSb at its relaxed geometry.

It has space group P4/mmm (No. 123), with a = 4.4792 Å, b = 4.4792 Å, c = 4.9583 Å, α = 90.00°, β = 90.00° and γ = 90.00°. The inequivalent atoms are Li at (0.0000, 0.5000, 0.0000), Ce at (0.0000, 0.0000, 0.5000) and Sb at (0.5000, 0.5000, 0.5000).

The volume comes out at 99.48 Å³/cell. The uncorrected energy comes out at -3.8861 eV/atom.

DFT (GGA-PBE) results for crystalline LiCe3Sb4 at its relaxed geometry.

It has space group Pm-3m (No. 221), with a = 6.2928 Å, b = 6.2928 Å, c = 6.2928 Å, α = 90.00°, β = 90.00° and γ = 90.00°. The inequivalent atoms are Li at (0.0000, 0.0000, 0.0000), Ce at (0.0000, 0.5000, 0.5000), Sb at (0.0000, 0.0000, 0.5000) and Sb at (0.5000, 0.5000, 0.5000).

The volume comes out at 249.19 Å³/cell. The uncorrected energy comes out at -5.3104 eV/atom.

DFT (GGA-PBE) results for crystalline LiCe2Sb at its relaxed geometry.

It has space group R-3m (No. 166, hexagonal axes), with a = 3.2230 Å, b = 3.2230 Å, c = 35.9347 Å, α = 90.00°, β = 90.00° and γ = 120.00°. The inequivalent atoms are Li at (0.0000, 0.0000, 0.0000), Ce at (0.0000, 0.0000, 0.0906) and Sb at (0.0000, 0.0000, 0.5000).

The value obtained for the energy above the most stable polymorph in this dataset is 467 meV per atom. The volume comes out at 323.28 Å³/cell. The uncorrected energy comes out at -4.4874 eV/atom.

DFT (GGA-PBE) results for crystalline Li3Ce4Sb8 at its relaxed geometry.

It has space group P-4m2 (No. 115), with a = 4.3765 Å, b = 4.3765 Å, c = 20.4638 Å, α = 90.00°, β = 90.00° and γ = 90.00°. The inequivalent atoms are Li at (0.0000, 0.0000, 0.0000), Li at (0.0000, 0.0000, 0.5000), Li at (0.5000, 0.5000, 0.0000), Ce at (0.0000, 0.5000, 0.1397), Ce at (0.0000, 0.5000, 0.6167), Sb at (0.0000, 0.0000, 0.2611), Sb at (0.0000, 0.5000, 0.4257), Sb at (0.0000, 0.5000, 0.9124) and Sb at (0.5000, 0.5000, 0.2611).

The volume comes out at 391.96 Å³/cell. The uncorrected energy comes out at -4.9481 eV/atom.

DFT (GGA-PBE) results for crystalline LiCe2Sb at its relaxed geometry.

It has space group P4/mmm (No. 123), with a = 4.3855 Å, b = 4.3855 Å, c = 4.9637 Å, α = 90.00°, β = 90.00° and γ = 90.00°. The inequivalent atoms are Li at (0.0000, 0.0000, 0.0000), Ce at (0.0000, 0.5000, 0.5000) and Sb at (0.5000, 0.5000, 0.0000).

The value obtained for the energy above the most stable polymorph in this dataset is 0 meV per atom. The volume comes out at 95.47 Å³/cell. The uncorrected energy comes out at -4.9549 eV/atom.

DFT (GGA-PBE) results for crystalline LiCeSb3 at its relaxed geometry.

It has space group Pbcm (No. 57), with a = 13.5930 Å, b = 6.1325 Å, c = 6.3012 Å, α = 90.00°, β = 90.00° and γ = 90.00°. The inequivalent atoms are Li at (0.1035, 0.2500, 0.0000), Ce at (0.3176, 0.5088, 0.2500), Sb at (0.0834, 0.7121, 0.2500), Sb at (0.2530, 0.0056, 0.2500) and Sb at (0.4981, 0.2500, 0.0000).

The volume comes out at 525.26 Å³/cell. The uncorrected energy comes out at -4.6759 eV/atom.

DFT (GGA-PBE) results for crystalline LiCe5Sb3 at its relaxed geometry.

It has space group P6_3/mcm (No. 193), with a = 9.4500 Å, b = 9.4500 Å, c = 6.4239 Å, α = 90.00°, β = 90.00° and γ = 120.00°. The inequivalent atoms are Li at (0.0000, 0.0000, 0.0000), Ce at (0.0000, 0.3039, 0.2500), Ce at (0.3333, 0.6667, 0.0000) and Sb at (0.0000, 0.3571, 0.7500).

The volume comes out at 496.83 Å³/cell. The uncorrected energy comes out at -5.5684 eV/atom.

DFT (GGA-PBE) results for crystalline Li7CeSb4 at its relaxed geometry.

It has space group P-1 (No. 2), with a = 5.4683 Å, b = 7.1753 Å, c = 7.8185 Å, α = 64.77°, β = 74.66° and γ = 88.17°. The inequivalent atoms are Li at (0.0000, 0.0000, 0.0000), Li at (0.2436, 0.5075, 0.5094), Li at (0.3923, 0.6968, 0.7466), Li at (0.4748, 0.2297, 0.9776), Ce at (0.0000, 0.0000, 0.5000), Sb at (0.1261, 0.4527, 0.1704) and Sb at (0.4293, 0.1207, 0.6838).

The volume comes out at 266.47 Å³/cell. The uncorrected energy comes out at -3.5589 eV/atom.

DFT (GGA-PBE) results for crystalline Li3CeSb2 at its relaxed geometry.

It has space group Pmc2_1 (No. 26), with a = 4.6566 Å, b = 8.1848 Å, c = 7.5079 Å, α = 90.00°, β = 90.00° and γ = 90.00°. The inequivalent atoms are Li at (0.0000, 0.0802, 0.0000), Li at (0.0000, 0.3003, 0.3549), Li at (0.5000, 0.1525, 0.6508), Ce at (0.5000, 0.4585, 0.0108), Sb at (0.0000, 0.3554, 0.7390) and Sb at (0.5000, 0.1614, 0.2727).

The value obtained for the energy above the most stable polymorph in this dataset is 79 meV per atom. The volume comes out at 286.15 Å³/cell. The uncorrected energy comes out at -4.0324 eV/atom.

DFT (GGA-PBE) results for crystalline Li3CeSb2 at its relaxed geometry.

It has space group P-3m1 (No. 164), with a = 4.5990 Å, b = 4.5990 Å, c = 7.3541 Å, α = 90.00°, β = 90.00° and γ = 120.00°. The inequivalent atoms are Li at (0.0000, 0.0000, 0.0000), Li at (0.3333, 0.6667, 0.1465), Ce at (0.0000, 0.0000, 0.5000) and Sb at (0.3333, 0.6667, 0.7542).

The value obtained for the energy above the most stable polymorph in this dataset is 0 meV per atom. The volume comes out at 134.71 Å³/cell. The uncorrected energy comes out at -4.1119 eV/atom.

DFT (GGA-PBE) results for crystalline Li2CeSbSe4 at its relaxed geometry.

It has space group I-4m2 (No. 119), with a = 5.8075 Å, b = 5.8075 Å, c = 11.5782 Å, α = 90.00°, β = 90.00° and γ = 90.00°. The inequivalent atoms are Li at (0.0000, 0.0000, 0.0000), Li at (0.0000, 0.5000, 0.2500), Ce at (0.0000, 0.5000, 0.7500), Sb at (0.0000, 0.0000, 0.5000), Se at (0.0000, 0.0000, 0.2505) and Se at (0.0000, 0.5000, 0.0044).

The volume comes out at 390.50 Å³/cell. The uncorrected energy comes out at -4.5908 eV/atom.

DFT (GGA-PBE) results for crystalline Li2CeSm2Sb2 at its relaxed geometry.

It has space group R-3m (No. 166, hexagonal axes), with a = 4.7887 Å, b = 4.7887 Å, c = 27.3498 Å, α = 90.00°, β = 90.00° and γ = 120.00°. The inequivalent atoms are Li at (0.0000, 0.0000, 0.0946), Ce at (0.0000, 0.0000, 0.5000), Sm at (0.0000, 0.0000, 0.3711) and Sb at (0.0000, 0.0000, 0.2356).

The volume comes out at 543.15 Å³/cell. The uncorrected energy comes out at -4.4823 eV/atom.